Entry 1:
Material: FeSi2PRu
Method: DFT, PBE-GGA
State: optimized geometry

Lattice parameters (Å, degrees): 4.4612 4.4612 4.8724 90.00 90.00 90.00
Last column: nearest neighbours and their distance in Å.
Atoms (fractional coordinates):
Fe 0.0000 0.0000 0.0000  2 Ru 2.44
Si 0.0000 0.5000 0.5000  2 Ru 2.23
Si 0.5000 0.0000 0.5000  2 Ru 2.23
P 0.5000 0.5000 0.0000  4 Fe 3.15, 8 Si 3.30
Ru 0.0000 0.0000 0.5000  4 Si 2.23, 2 Fe 2.44

Summary:
E above lowest polymorph (eV/atom): 0.0935
Density (Mg/m³): 4.18
Formation energy without anion corrections (eV/atom): 0.790
Crystal system: tetragonal
Spin magnetization (μB/f.u.): 3.7



Entry 2:
Material: Tl2FePRu
Method: DFT, PBE-GGA
State: optimized geometry

Lattice parameters (Å, degrees): 5.0601 5.0601 4.0814 90.00 90.00 90.00
Last column: nearest neighbours and their distance in Å.
Atoms (fractional coordinates):
Tl 0.0000 0.5000 0.0000  2 Fe 2.53
Tl 0.5000 0.0000 0.0000  2 Fe 2.53
Fe 0.0000 0.0000 0.0000  2 P 2.04
P 0.0000 0.0000 0.5000  2 Fe 2.04
Ru 0.5000 0.5000 0.5000  8 Tl 3.25, 4 P 3.58

Summary:
Density (Mg/m³): 9.48
Crystal system: tetragonal
Spin magnetization (μB/f.u.): 1.5
DFT formation energy (meV per atom): 887



Entry 3:
Material: TmFeP2Ru
Method: DFT, PBE-GGA
State: optimized geometry

Lattice parameters (Å, degrees): 5.4714 5.4714 5.4714 137.85 137.85 61.13
Last column: nearest neighbours and their distance in Å.
Atoms (fractional coordinates):
Tm 0.0000 0.0000 0.0000  8 P 3.02, 4 Fe 3.07, 4 Ru 3.07
Fe 0.7500 0.2500 0.5000  4 P 2.29
P 0.3743 0.3743 0.0000  2 Fe 2.29, 2 Ru 2.29, 1 P 2.37
P 0.6257 0.6257 0.0000  2 Fe 2.29, 2 Ru 2.29, 1 P 2.37
Ru 0.2500 0.7500 0.5000  4 P 2.29

Summary:
Density (Mg/m³): 8.83
Crystal system: tetragonal
Spin magnetization (μB/f.u.): 0.0
DFT formation energy (meV per atom): -980